--- 1 ---
A relaxed structure of Tl2PbBr5. Source: Alexandria via LeMat-Bulk, functional GGA-PBE.

- Density: 5.0 Mg/m³
- M_tot: 0.00 μB/f.u.
- DOS at the Fermi energy: 3.23 states/eV/f.u.
- Space-group type: Cmcm

Unit cell a=5.984 b=8.027 c=15.265 alpha=90.00 beta=90.00 gamma=111.89
Fractional coordinates of all 16 atoms:
Tl (0.851, 0.702, 0.437)
Tl (0.851, 0.702, 0.063)
Tl (0.149, 0.298, 0.563)
Tl (0.149, 0.298, 0.937)
Pb (0.806, 0.612, 0.750)
Pb (0.194, 0.388, 0.250)
Br (0.947, 0.894, 0.882)
Br (0.947, 0.894, 0.618)
Br (0.327, 0.654, 0.423)
Br (0.327, 0.654, 0.077)
Br (0.734, 0.468, 0.250)
Br (0.266, 0.532, 0.750)
Br (0.673, 0.346, 0.577)
Br (0.673, 0.346, 0.923)
Br (0.053, 0.106, 0.118)
Br (0.053, 0.106, 0.382)


--- 2 ---
A relaxed structure of Tl2PbBr5. Source: Alexandria via LeMat-Bulk, functional GGA-PBE.

- Density: 5.4 Mg/m³
- M_tot: 0.00 μB/f.u.
- DOS at the Fermi energy: 3.55 states/eV/f.u.
- Space-group type: Fmmm

Unit cell a=5.881 b=7.057 c=8.823 alpha=82.02 beta=70.53 gamma=65.38
Fractional coordinates of all 8 atoms:
Tl (0.811, 0.500, 0.878)
Tl (0.189, 0.500, 0.122)
Pb (0.500, 0.500, 0.500)
Br (0.223, 0.790, 0.765)
Br (0.488, 0.790, 0.235)
Br (0.000, 0.500, 0.500)
Br (0.777, 0.210, 0.235)
Br (0.512, 0.210, 0.765)


1 is preferred energetically. Next in line: 0.091 eV/atom higher.


--- 1 ---
A relaxed structure of TlPbBr2. Source: Alexandria via LeMat-Bulk, functional GGA-PBE.

- Density: 7.7 Mg/m³
- M_tot: 0.00 μB/f.u.
- DOS at the Fermi energy: 2.54 states/eV/f.u.
- Space-group type: P4/mmm

Unit cell a=5.589 b=5.589 c=3.945 alpha=90.00 beta=90.00 gamma=90.02
Fractional coordinates of all 4 atoms:
Pb (0.500, 0.000, 0.500)
Tl (0.000, 0.500, 0.500)
Br (0.000, 0.000, 0.000)
Br (0.500, 0.500, 0.000)


--- 2 ---
A relaxed structure of TlPbBr2. Source: Alexandria via LeMat-Bulk, functional GGA-PBE.

- Density: 6.6 Mg/m³
- M_tot: 0.00 μB/f.u.
- DOS at the Fermi energy: 1.33 states/eV/f.u.
- Space-group type: Cmm2

Unit cell a=3.966 b=3.966 c=9.656 alpha=90.00 beta=90.00 gamma=109.99
Fractional coordinates of all 4 atoms:
Pb (0.000, 0.000, 0.490)
Tl (0.500, 0.500, 0.763)
Br (0.000, 0.000, 0.949)
Br (0.500, 0.500, 0.298)


--- 3 ---
A relaxed structure of TlPbBr2. Source: Alexandria via LeMat-Bulk, functional GGA-PBE.

- Density: 7.2 Mg/m³
- M_tot: 0.00 μB/f.u.
- DOS at the Fermi energy: 1.07 states/eV/f.u.
- Space-group type: Cm

Unit cell a=6.570 b=6.570 c=5.440 alpha=79.91 beta=79.91 gamma=34.74
Fractional coordinates of all 4 atoms:
Pb (0.511, 0.511, 0.610)
Tl (0.251, 0.251, 0.141)
Br (0.996, 0.996, 0.092)
Br (0.742, 0.742, 0.657)


3 is preferred energetically. Next in line: 0.043 eV/atom higher.


--- 1 ---
A relaxed structure of TlPbBr2. Source: Alexandria via LeMat-Bulk, functional GGA-PBE.

- Density: 7.2 Mg/m³
- M_tot: 0.00 μB/f.u.
- DOS at the Fermi energy: 0.93 states/eV/f.u.
- Space-group type: Cmmm

Unit cell a=3.886 b=3.886 c=9.425 alpha=90.00 beta=90.00 gamma=112.39
Fractional coordinates of all 4 atoms:
Pb (0.500, 0.500, 0.250)
Tl (0.500, 0.500, 0.750)
Br (0.000, 0.000, 0.004)
Br (0.000, 0.000, 0.496)


--- 2 ---
A relaxed structure of TlPbBr2. Source: Alexandria via LeMat-Bulk, functional GGA-PBE.

- Density: 7.3 Mg/m³
- M_tot: 0.00 μB/f.u.
- DOS at the Fermi energy: 2.64 states/eV/f.u.
- Space-group type: I-4m2

Unit cell a=7.044 b=7.044 c=7.044 alpha=142.20 beta=142.20 gamma=54.53
Fractional coordinates of all 4 atoms:
Pb (0.500, 0.500, 0.000)
Tl (0.750, 0.250, 0.500)
Br (0.000, 0.000, 0.000)
Br (0.250, 0.750, 0.500)


--- 3 ---
A relaxed structure of TlPbBr2. Source: Alexandria via LeMat-Bulk, functional GGA-PBE.

- Density: 6.9 Mg/m³
- M_tot: 0.00 μB/f.u.
- DOS at the Fermi energy: 0.84 states/eV/f.u.
- Space-group type: Pm

Unit cell a=6.087 b=3.724 c=6.086 alpha=90.09 beta=90.00 gamma=90.00
Fractional coordinates of all 4 atoms:
Pb (0.000, 0.249, 0.375)
Tl (0.500, 0.750, 0.875)
Br (0.000, 0.248, 0.875)
Br (0.500, 0.253, 0.374)


3 is preferred energetically. Next in line: 0.062 eV/atom higher.


--- 1 ---
A relaxed structure of TlPbBr2. Source: Alexandria via LeMat-Bulk, functional GGA-PBE.

- Density: 7.4 Mg/m³
- M_tot: 0.00 μB/f.u.
- DOS at the Fermi energy: 1.32 states/eV/f.u.
- Space-group type: Pmmm

Unit cell a=4.349 b=6.258 c=4.707 alpha=90.00 beta=90.00 gamma=90.00
Fractional coordinates of all 4 atoms:
Pb (0.500, 0.000, 0.500)
Tl (0.000, 0.500, 0.500)
Br (0.000, 0.000, 0.000)
Br (0.500, 0.500, 0.000)


--- 2 ---
A relaxed structure of TlPbBr2. Source: Alexandria via LeMat-Bulk, functional GGA-PBE.

- Density: 7.2 Mg/m³
- M_tot: 0.00 μB/f.u.
- DOS at the Fermi energy: 2.15 states/eV/f.u.
- Space-group type: R-3m

Unit cell a=9.719 b=9.719 c=9.719 alpha=23.78 beta=23.78 gamma=23.78
Fractional coordinates of all 4 atoms:
Pb (0.250, 0.250, 0.250)
Tl (0.750, 0.750, 0.750)
Br (0.999, 0.999, 0.999)
Br (0.501, 0.501, 0.501)


2 is preferred energetically. Next in line: 0.083 eV/atom higher.


--- 1 ---
A relaxed structure of TlPbBr2. Source: Alexandria via LeMat-Bulk, functional GGA-PBE.

- Density: 7.0 Mg/m³
- M_tot: 0.00 μB/f.u.
- DOS at the Fermi energy: 0.47 states/eV/f.u.
- Space-group type: Pmmm

Unit cell a=4.279 b=3.773 c=8.430 alpha=90.01 beta=90.00 gamma=90.00
Fractional coordinates of all 4 atoms:
Pb (0.500, 0.250, 0.250)
Tl (0.500, 0.750, 0.750)
Br (0.000, 0.250, 0.983)
Br (0.000, 0.250, 0.517)


--- 2 ---
A relaxed structure of TlPbBr2. Source: Alexandria via LeMat-Bulk, functional GGA-PBE.

- Density: 7.7 Mg/m³
- M_tot: 0.89 μB/f.u.
- DOS at the Fermi energy: 3.23 states/eV/f.u.
- Space-group type: F-43m

Unit cell a=5.578 b=5.578 c=5.578 alpha=60.00 beta=60.00 gamma=60.00
Last column: magnetic moment on the atom in μB.
Fractional coordinates of all 4 atoms:
Pb (0.500, 0.500, 0.500)  0.22
Tl (0.750, 0.750, 0.750)  0.08
Br (0.000, 0.000, 0.000)  0.05
Br (0.250, 0.250, 0.250)  0.04


--- 3 ---
A relaxed structure of TlPbBr2. Source: Alexandria via LeMat-Bulk, functional GGA-PBE.

- Density: 5.8 Mg/m³
- M_tot: 0.00 μB/f.u.
- DOS at the Fermi energy: 4.04 states/eV/f.u.
- Space-group type: I-42d

Unit cell a=5.866 b=5.866 c=10.376 alpha=73.58 beta=73.58 gamma=90.00
Fractional coordinates of all 8 atoms:
Pb (0.000, 0.000, 0.000)
Pb (0.750, 0.250, 0.500)
Tl (0.500, 0.500, 0.000)
Tl (0.250, 0.750, 0.500)
Br (0.655, 0.125, 0.250)
Br (0.095, 0.625, 0.250)
Br (0.375, 0.345, 0.750)
Br (0.875, 0.905, 0.750)


--- 4 ---
A relaxed structure of TlPbBr2. Source: Alexandria via LeMat-Bulk, functional GGA-PBE.

- Density: 7.0 Mg/m³
- M_tot: 0.00 μB/f.u.
- DOS at the Fermi energy: 0.84 states/eV/f.u.
- Space-group type: C2/m

Unit cell a=8.048 b=6.365 c=3.689 alpha=73.40 beta=89.62 gamma=129.07
Fractional coordinates of all 4 atoms:
Pb (0.000, 0.500, 0.500)
Tl (0.500, 0.500, 0.000)
Br (0.000, 0.000, 0.000)
Br (0.500, 0.000, 0.500)


1 is preferred energetically. Next in line: 0.090 eV/atom higher.


--- 1 ---
A relaxed structure of TlPbBr2. Source: Alexandria via LeMat-Bulk, functional GGA-PBE.

- Density: 6.6 Mg/m³
- M_tot: 0.00 μB/f.u.
- DOS at the Fermi energy: 2.74 states/eV/f.u.
- Space-group type: P4mm

Unit cell a=4.677 b=4.677 c=6.601 alpha=90.00 beta=90.00 gamma=90.00
Fractional coordinates of all 4 atoms:
Pb (0.000, 0.000, 0.376)
Tl (0.500, 0.500, 0.872)
Br (0.000, 0.000, 0.880)
Br (0.500, 0.500, 0.372)


--- 2 ---
A relaxed structure of TlPbBr2. Source: Alexandria via LeMat-Bulk, functional GGA-PBE.

- Density: 7.2 Mg/m³
- M_tot: 0.00 μB/f.u.
- DOS at the Fermi energy: 1.96 states/eV/f.u.
- Space-group type: P4mm

Unit cell a=3.916 b=3.916 c=8.584 alpha=90.00 beta=90.00 gamma=90.00
Fractional coordinates of all 4 atoms:
Pb (0.000, 0.000, 0.494)
Tl (0.500, 0.500, 0.760)
Br (0.000, 0.000, 0.937)
Br (0.500, 0.500, 0.309)


--- 3 ---
A relaxed structure of TlPbBr2. Source: Alexandria via LeMat-Bulk, functional GGA-PBE.

- Density: 7.8 Mg/m³
- M_tot: 0.00 μB/f.u.
- DOS at the Fermi energy: 2.50 states/eV/f.u.
- Space-group type: Fm-3m

Unit cell a=5.573 b=5.573 c=5.573 alpha=60.00 beta=60.00 gamma=60.00
Fractional coordinates of all 4 atoms:
Pb (0.500, 0.500, 0.500)
Tl (0.000, 0.000, 0.000)
Br (0.250, 0.250, 0.250)
Br (0.750, 0.750, 0.750)


--- 4 ---
A relaxed structure of TlPbBr2. Source: Alexandria via LeMat-Bulk, functional GGA-PBE.

- Density: 7.1 Mg/m³
- M_tot: 0.00 μB/f.u.
- DOS at the Fermi energy: 0.58 states/eV/f.u.
- Space-group type: C2/m

Unit cell a=5.004 b=5.004 c=7.735 alpha=81.51 beta=81.51 gamma=44.51
Fractional coordinates of all 4 atoms:
Pb (0.750, 0.750, 0.750)
Tl (0.250, 0.250, 0.250)
Br (0.991, 0.991, 0.988)
Br (0.509, 0.509, 0.512)


4 is preferred energetically. Next in line: 0.061 eV/atom higher.